No. 1
First-principles (GGA-PBE) data for a relaxed Er4PuZn5 crystal, as listed in the Alexandria database.

Computed properties:
The calculation puts the formation energy from the elements at -2.83 eV per formula unit. The total energy is -4.179 eV/atom.

Cell lengths 3.5360, 3.5360, 17.7749 Å; angles 90.00, 90.00, 90.00 degrees
Sites, in units of the cell vectors:
Er1 0.0000 0.0000 0.0991
Er2 0.0000 0.0000 0.2976
Er3 0.0000 0.0000 0.7024
Er4 0.0000 0.0000 0.9009
Pu1 0.0000 0.0000 0.5000
Zn1 0.5000 0.5000 0.0000
Zn2 0.5000 0.5000 0.1984
Zn3 0.5000 0.5000 0.3933
Zn4 0.5000 0.5000 0.6067
Zn5 0.5000 0.5000 0.8016


No. 2
First-principles (GGA-PBE) data for a relaxed ErPu2Zn9 crystal, as listed in the Alexandria database.

Computed properties:
The calculation puts the formation energy from the elements at -2.37 eV per formula unit. The total energy is -3.922 eV/atom.

Cell lengths 9.2923, 9.2923, 9.2923 Å; angles 33.47, 33.47, 33.47 degrees
Sites, in units of the cell vectors:
Er1 0.0000 0.0000 0.0000
Pu1 0.1478 0.1478 0.1478
Pu2 0.8522 0.8522 0.8522
Zn1 0.0776 0.5827 0.5827
Zn2 0.3352 0.3352 0.3352
Zn3 0.4173 0.4173 0.9224
Zn4 0.4173 0.9224 0.4173
Zn5 0.5000 0.5000 0.5000
Zn6 0.5827 0.0776 0.5827
Zn7 0.5827 0.5827 0.0776
Zn8 0.6648 0.6648 0.6648
Zn9 0.9224 0.4173 0.4173


What did the second record say?
First-principles (GGA-PBE) data for a relaxed ErPu2Zn9 crystal, as listed in the Alexandria database.

Computed properties:
The calculation puts the formation energy from the elements at -2.37 eV per formula unit. The total energy is -3.922 eV/atom.

Cell lengths 9.2923, 9.2923, 9.2923 Å; angles 33.47, 33.47, 33.47 degrees
Sites, in units of the cell vectors:
Er1 0.0000 0.0000 0.0000
Pu1 0.1478 0.1478 0.1478
Pu2 0.8522 0.8522 0.8522
Zn1 0.0776 0.5827 0.5827
Zn2 0.3352 0.3352 0.3352
Zn3 0.4173 0.4173 0.9224
Zn4 0.4173 0.9224 0.4173
Zn5 0.5000 0.5000 0.5000
Zn6 0.5827 0.0776 0.5827
Zn7 0.5827 0.5827 0.0776
Zn8 0.6648 0.6648 0.6648
Zn9 0.9224 0.4173 0.4173


Q: Which value of formation energy from the elements does entry 2 give?
A: -2.37 eV per formula unit


Q: The highest total energy belongs to which entry?
A: ErPu2Zn9


Q: Look up the formation energy from the elements of the second one.
A: -2.37 eV per formula unit